Record 1
Density functional theory data (PBE) for an optimized crystal structure of Th4Cd2O.

The structure in POSCAR format:
```
Th4Cd2O
1.0
-4.482 -1.572 0.950
1.835 -3.745 2.463
1.213 7.151 5.207
Th Cd O
4 2 1
direct
0.500 0.000 0.000
0.830 0.830 0.661
0.170 0.170 0.339
0.000 0.500 0.000
0.361 0.361 0.722
0.639 0.639 0.278
0.000 0.000 0.000
```

ΔE_f (raw): -621 meV/atom
DFT total energy: -40.8 eV per cell
DOS(E_F): 8.88 states/eV per cell

Record 2
Density functional theory data (PBE) for an optimized crystal structure of Tb2BiSe4.

The structure in POSCAR format:
```
Tb2BiSe4
1.0
-3.286 -0.768 -2.221
1.898 -6.995 -0.390
-3.038 2.227 7.399
Se Tb Bi
4 2 1
direct
0.356 0.689 0.712
0.644 0.311 0.288
0.134 0.826 0.268
0.866 0.174 0.732
0.262 0.254 0.524
0.738 0.746 0.476
0.000 0.000 0.000
```

ΔE_f (raw): -1315 meV/atom
DFT total energy: -36.3 eV per cell
DOS(E_F): 1.94 states/eV per cell

Record 3
Density functional theory data (PBE) for an optimized crystal structure of MgAl2Ni5.

The structure in POSCAR format:
```
MgAl2Ni5
1.0
-2.422 -1.193 -0.301
0.196 -4.604 4.415
-3.114 1.909 5.234
Ni Al Mg
5 2 1
direct
0.628 0.600 0.144
0.372 0.856 0.400
0.628 0.144 0.600
0.000 0.500 0.500
0.372 0.400 0.856
0.242 0.258 0.258
0.758 0.742 0.742
0.000 0.000 0.000
```

Energy relative to the elements: -0.287 eV per atom
DFT total energy: -40.3 eV per cell
DOS(E_F): 6.40 states/eV per cell

Record 4
Density functional theory data (PBE) for an optimized crystal structure of Ba3Li2PbO6.

The structure in POSCAR format:
```
Ba3Li2PbO6
1.0
6.121 0.000 0.000
-3.061 5.301 0.000
0.000 0.000 6.817
Ba Pb O Li
3 1 6 2
direct
0.333 0.667 0.633
0.000 0.000 0.000
0.667 0.333 0.367
0.000 0.000 0.500
0.168 0.832 0.305
0.336 0.168 0.695
0.168 0.336 0.305
0.832 0.664 0.695
0.664 0.832 0.305
0.832 0.168 0.695
0.333 0.667 0.223
0.667 0.333 0.777
```

ΔE_f (raw): -1920 meV/atom
DFT total energy: -66.1 eV per cell

Record 5
Density functional theory data (PBE) for an optimized crystal structure of Ac4RhSe2Br.

The structure in POSCAR format:
```
Ac4RhSe2Br
1.0
4.330 0.000 0.000
0.000 7.877 0.210
0.000 -2.683 7.439
Ac Se Rh Br
4 2 1 1
direct
0.000 0.721 0.229
0.000 0.279 0.771
0.500 0.266 0.256
0.500 0.734 0.744
0.000 0.500 0.500
0.500 0.000 0.500
0.500 0.500 0.000
0.000 0.000 0.000
```

ΔE_f (raw): -1395 meV/atom
DFT total energy: -43.6 eV per cell
DOS(E_F): 6.00 states/eV per cell

Record 6
Density functional theory data (PBE) for an optimized crystal structure of LaCu3Ge.

The structure in POSCAR format:
```
LaCu3Ge
1.0
-1.872 -0.953 -5.399
3.020 -3.973 -2.960
-3.613 -4.237 2.001
Cu La Ge
6 2 2
direct
0.513 0.889 0.450
0.939 0.463 0.950
0.323 0.274 0.201
0.128 0.079 0.701
0.513 0.889 0.951
0.939 0.463 0.451
0.457 0.408 0.701
0.994 0.945 0.201
0.574 0.525 0.201
0.878 0.828 0.701
```

E above lowest polymorph: 0.000 eV/atom
Energy relative to the elements: -0.338 eV per atom
DFT total energy: -47.0 eV per cell
DOS(E_F): 8.22 states/eV per cell

Record 7
Density functional theory data (PBE) for an optimized crystal structure of ZrVGaBi2.

The structure in POSCAR format:
```
ZrVGaBi2
1.0
5.425 0.000 0.000
0.000 4.625 0.000
0.000 0.000 5.425
Bi Zr Ga V
2 1 1 1
direct
0.500 0.000 0.000
0.000 0.000 0.500
0.500 0.500 0.500
0.000 0.000 0.000
0.000 0.500 0.000
```

Energy relative to the elements: 0.819 eV per atom
DFT total energy: -24.4 eV per cell
DOS(E_F): 5.29 states/eV per cell

Record 8
Density functional theory data (PBE) for an optimized crystal structure of DyEr7Tm2.

The structure in POSCAR format:
```
DyEr7Tm2
1.0
-0.936 0.639 -5.118
8.596 -3.167 -1.968
-7.670 -5.333 0.737
Dy Er Tm
1 7 2
direct
0.000 0.000 0.000
0.500 0.289 0.067
0.000 0.200 0.800
0.500 0.711 0.933
0.000 0.800 0.200
0.500 0.067 0.289
0.500 0.933 0.711
0.500 0.500 0.500
0.500 0.298 0.702
0.500 0.702 0.298
```

E above lowest polymorph: 0.659 eV/atom
Energy relative to the elements: 0.711 eV per atom
DFT total energy: -38.4 eV per cell
DOS(E_F): 13.50 states/eV per cell

Record 9
Density functional theory data (PBE) for an optimized crystal structure of TaBe2Tc.

The structure in POSCAR format:
```
TaBe2Tc
1.0
2.730 0.014 0.000
-0.490 2.686 0.000
0.000 0.000 6.792
Tc Ta Be
1 1 2
direct
0.500 0.500 0.800
0.000 0.000 0.466
0.000 0.000 0.034
0.500 0.500 0.200
```

E above lowest polymorph: 0.433 eV/atom
Energy relative to the elements: 0.049 eV per atom
DFT total energy: -29.5 eV per cell
DOS(E_F): 1.52 states/eV per cell

Record 10
Density functional theory data (PBE) for an optimized crystal structure of AlOsPbO6.

The structure in POSCAR format:
```
AlOsPbO6
1.0
-0.068 -0.346 -5.106
-2.328 -3.955 -2.266
-4.506 2.723 -0.124
O Al Pb Os
6 1 1 1
direct
0.615 0.385 0.702
0.001 0.385 0.298
0.001 0.615 0.702
0.385 0.001 0.702
0.385 0.615 0.298
0.615 0.001 0.298
0.667 0.667 0.500
0.000 0.000 0.000
0.333 0.333 0.500
```

ΔE_f (raw): -1557 meV/atom
DFT total energy: -62.4 eV per cell
DOS(E_F): 2.03 states/eV per cell

Record 11
Density functional theory data (PBE) for an optimized crystal structure of Al2TlAgI8.

The structure in POSCAR format:
```
Al2TlAgI8
1.0
-7.128 0.074 -2.031
5.321 -0.180 -5.157
-0.166 -10.573 0.197
I Al Ag Tl
8 2 1 1
direct
0.008 0.330 0.680
0.992 0.670 0.320
0.678 0.008 0.320
0.333 0.667 0.995
0.330 0.322 0.320
0.670 0.678 0.680
0.322 0.992 0.680
0.667 0.333 0.005
0.333 0.667 0.754
0.667 0.333 0.246
0.000 0.000 0.500
0.000 0.000 0.000
```

ΔE_f (raw): -574 meV/atom
DFT total energy: -32.0 eV per cell
DOS(E_F): 0.00 states/eV per cell

Record 12
Density functional theory data (PBE) for an optimized crystal structure of TmAl2Pd7.

The structure in POSCAR format:
```
TmAl2Pd7
1.0
4.040 0.000 -0.777
-0.150 4.037 -0.777
-0.105 -0.109 10.340
Pd Tm Al
7 1 2
direct
0.500 0.500 0.000
0.397 0.897 0.795
0.603 0.103 0.205
0.250 0.750 0.500
0.103 0.603 0.205
0.897 0.397 0.795
0.750 0.250 0.500
0.000 0.000 0.000
0.325 0.325 0.649
0.675 0.675 0.351
```

E above lowest polymorph: 0.000 eV/atom
Energy relative to the elements: -0.772 eV per atom
DFT total energy: -56.0 eV per cell
DOS(E_F): 2.28 states/eV per cell

Record 13
Density functional theory data (PBE) for an optimized crystal structure of ZrTa2C.

The structure in POSCAR format:
```
ZrTa2C
1.0
-0.498 4.743 -2.372
-0.722 2.671 -4.551
-4.595 1.944 -1.375
Ta Zr C
2 1 1
direct
0.736 0.736 0.818
0.909 0.909 0.146
0.557 0.557 0.502
0.298 0.298 0.034
```

Energy relative to the elements: -0.102 eV per atom
DFT total energy: -41.9 eV per cell
DOS(E_F): 3.52 states/eV per cell

Record 14
Density functional theory data (PBE) for an optimized crystal structure of RbNa2Np2O7.

The structure in POSCAR format:
```
RbNa2Np2O7
1.0
-3.887 -0.995 -1.608
-1.358 -1.090 3.957
-0.391 10.346 0.354
Rb O Np Na
1 7 2 2
direct
0.000 0.000 0.000
0.109 0.609 0.218
0.709 0.709 0.417
0.391 0.891 0.782
0.291 0.291 0.583
0.891 0.391 0.782
0.500 0.500 0.000
0.609 0.109 0.218
0.391 0.391 0.783
0.609 0.609 0.217
0.750 0.250 0.500
0.250 0.750 0.500
```

ΔE_f (raw): -2508 meV/atom
DFT total energy: -94.3 eV per cell
DOS(E_F): 5.10 states/eV per cell

Record 15
Density functional theory data (PBE) for an optimized crystal structure of LaGd3Co.

The structure in POSCAR format:
```
LaGd3Co
1.0
5.362 0.000 0.000
0.000 5.362 0.000
0.000 0.000 5.362
Gd Co La
3 1 1
direct
0.500 0.000 0.000
0.000 0.000 0.500
0.000 0.500 0.000
0.000 0.000 0.000
0.500 0.500 0.500
```

Energy relative to the elements: -0.031 eV per atom
DFT total energy: -54.4 eV per cell
DOS(E_F): 6.28 states/eV per cell

Record 16
Density functional theory data (PBE) for an optimized crystal structure of TlC2.

The structure in POSCAR format:
```
TlC2
1.0
0.915 -1.844 4.449
-3.136 0.807 3.681
-2.736 -3.677 1.740
C Tl
4 2
direct
0.625 0.125 0.125
0.125 0.125 0.125
0.125 0.625 0.125
0.125 0.125 0.625
0.500 0.500 0.500
0.750 0.750 0.750
```

E above lowest polymorph: 2.460 eV/atom
Energy relative to the elements: 3.363 eV per atom
DFT total energy: -21.5 eV per cell
DOS(E_F): 4.81 states/eV per cell

Record 17
Density functional theory data (PBE) for an optimized crystal structure of Y3AlRe.

The structure in POSCAR format:
```
Y3AlRe
1.0
5.352 0.000 0.000
0.000 5.352 0.000
0.000 0.000 5.352
Re Al Y
1 1 3
direct
0.000 0.000 0.000
0.500 0.500 0.500
0.500 0.000 0.000
0.000 0.000 0.500
0.000 0.500 0.000
```

E above lowest polymorph: 0.000 eV/atom
Energy relative to the elements: 0.373 eV per atom
DFT total energy: -33.7 eV per cell
DOS(E_F): 5.17 states/eV per cell

Record 18
Density functional theory data (PBE) for an optimized crystal structure of CeTh2Co7Si2.

The structure in POSCAR format:
```
CeTh2Co7Si2
1.0
-3.008 -0.216 2.436
0.545 -3.819 0.385
7.062 1.025 10.435
Co Si Th Ce
7 2 2 1
direct
0.961 0.463 0.150
0.039 0.537 0.850
0.396 0.396 0.423
0.463 0.961 0.150
0.537 0.039 0.850
0.604 0.604 0.577
0.500 0.500 0.000
0.437 0.437 0.241
0.563 0.563 0.759
0.910 0.910 0.353
0.090 0.090 0.647
0.000 0.000 0.000
```

ΔE_f (raw): -357 meV/atom
DFT total energy: -85.6 eV per cell
DOS(E_F): 10.14 states/eV per cell

Record 19
Density functional theory data (PBE) for an optimized crystal structure of Mg2TeOs.

The structure in POSCAR format:
```
Mg2TeOs
1.0
4.929 -0.093 0.462
3.969 2.925 0.462
1.695 0.539 6.373
Os Mg Te
1 2 1
direct
0.549 0.549 0.600
0.987 0.987 0.962
0.801 0.801 0.677
0.162 0.162 0.261
```

ΔE_f (raw): 91 meV/atom
DFT total energy: -17.2 eV per cell
DOS(E_F): 1.78 states/eV per cell

Record 20
Density functional theory data (PBE) for an optimized crystal structure of TaTlInPb2.

The structure in POSCAR format:
```
TaTlInPb2
1.0
-2.345 1.579 -5.017
1.499 -4.780 -2.205
-5.018 -2.318 1.615
Tl Pb Ta In
1 2 1 1
direct
0.000 0.000 0.000
0.500 0.000 0.000
0.000 0.000 0.500
0.500 0.500 0.500
0.000 0.500 0.000
```

Energy relative to the elements: 1.558 eV per atom
DFT total energy: -16.6 eV per cell
DOS(E_F): 5.85 states/eV per cell

Record 21
Density functional theory data (PBE) for an optimized crystal structure of Zr2TiRh2.

The structure in POSCAR format:
```
Zr2TiRh2
1.0
-4.442 -4.887 3.005
-1.594 -2.600 -6.584
2.677 -2.278 0.251
Rh Zr Ti
4 4 2
direct
0.866 0.634 0.000
0.366 0.866 0.000
0.134 0.366 0.000
0.634 0.134 0.000
0.828 0.328 0.500
0.672 0.828 0.500
0.328 0.172 0.500
0.172 0.672 0.500
0.000 0.000 0.000
0.500 0.500 0.000
```

E above lowest polymorph: 0.000 eV/atom
Energy relative to the elements: -0.533 eV per atom
DFT total energy: -84.7 eV per cell
DOS(E_F): 14.47 states/eV per cell

Record 22
Density functional theory data (PBE) for an optimized crystal structure of ZnBiH2Br.

The structure in POSCAR format:
```
ZnBiH2Br
1.0
-3.930 -0.950 -0.767
0.540 -4.698 3.051
-1.156 2.057 3.372
H Br Zn Bi
2 1 1 1
direct
0.000 0.000 0.500
0.500 0.000 0.000
0.500 0.500 0.500
0.000 0.500 0.000
0.000 0.000 0.000
```

DFT total energy: -13.0 eV per cell
DOS(E_F): 0.32 states/eV per cell

Record 23
Density functional theory data (PBE) for an optimized crystal structure of SrCu6Au6.

The structure in POSCAR format:
```
SrCu6Au6
1.0
-4.856 1.618 1.010
-4.253 -5.276 1.481
-0.938 1.396 6.730
Cu Au Sr
6 6 1
direct
0.000 0.500 0.000
0.000 0.000 0.500
0.500 0.000 0.500
0.500 0.234 0.766
0.500 0.500 0.000
0.500 0.766 0.234
0.000 0.660 0.340
0.699 0.801 0.801
0.346 0.654 0.654
0.654 0.346 0.346
0.000 0.340 0.660
0.301 0.199 0.199
0.000 0.000 0.000
```

Energy relative to the elements: -0.185 eV per atom
DFT total energy: -48.3 eV per cell
DOS(E_F): 3.76 states/eV per cell

Record 24
Density functional theory data (PBE) for an optimized crystal structure of AcCeSnHg.

The structure in POSCAR format:
```
AcCeSnHg
1.0
5.617 0.000 0.000
2.809 4.865 0.000
2.809 1.622 4.586
Hg Ac Sn Ce
1 1 1 1
direct
0.250 0.250 0.250
0.000 0.000 0.000
0.750 0.750 0.750
0.500 0.500 0.500
```

E above lowest polymorph: 0.011 eV/atom
Energy relative to the elements: -0.468 eV per atom
DFT total energy: -16.2 eV per cell
DOS(E_F): 11.44 states/eV per cell

Record 25
Density functional theory data (PBE) for an optimized crystal structure of ScMoSe2.

The structure in POSCAR format:
```
ScMoSe2
1.0
-7.291 0.158 0.219
2.902 -3.212 1.607
-1.358 0.245 2.947
Se Sc Mo
2 1 1
direct
0.000 0.000 0.000
0.500 0.000 0.500
0.500 0.500 0.000
0.000 0.500 0.500
```

E above lowest polymorph: 0.178 eV/atom
ΔE_f (raw): -597 meV/atom
DFT total energy: -26.5 eV per cell
DOS(E_F): 2.35 states/eV per cell